TbSm2Ni2B2P3 after structural relaxation, computed with PBE.

**Electronic total energy**: -63.81 eV for the cell shown

a = 11.102 Å, b = 11.102 Å, c = 11.102 Å
α = 159.29°, β = 159.29°, γ = 29.45°
Element x y z (fractional)
B  0.781  0.781  0.000
B  0.219  0.219  0.000
Ni  0.750  0.250  0.500
Ni  0.250  0.750  0.500
P  0.872  0.872  0.000
P  0.500  0.500  0.000
P  0.128  0.128  0.000
Sm  0.638  0.638  0.000
Sm  0.362  0.362  0.000
Tb  0.000  0.000  0.000

---

TbGd2Mg3InGa2 after structural relaxation, computed with PBE.

**Electronic total energy**: -31.60 eV for the cell shown

a = 4.574 Å, b = 7.363 Å, c = 7.363 Å
α = 119.91°, β = 90.00°, γ = 90.00°
Element x y z (fractional)
In  0.000  0.999  0.999
Gd  0.000  0.000  0.437
Gd  0.000  0.437  0.000
Mg  0.500  0.250  0.250
Mg  0.500  0.750  0.000
Mg  0.500  0.000  0.750
Tb  0.000  0.563  0.563
Ga  0.500  0.334  0.666
Ga  0.500  0.666  0.334

---

K2Rb2ZnAs2 after structural relaxation, computed with PBE.

**Offset from the most stable computed form**: 0 meV per atom
**Electronic total energy**: -17.82 eV for the cell shown

a = 9.889 Å, b = 9.889 Å, c = 9.889 Å
α = 34.47°, β = 34.47°, γ = 34.47°
Element x y z (fractional)
K  0.384  0.384  0.384
K  0.616  0.616  0.616
As  0.083  0.083  0.083
As  0.917  0.917  0.917
Rb  0.791  0.791  0.791
Rb  0.209  0.209  0.209
Zn  0.000  0.000  0.000

---

HfAsPb after structural relaxation, computed with PBE.

**Electronic total energy**: -16.12 eV for the cell shown

a = 4.891 Å, b = 4.891 Å, c = 4.891 Å
α = 60.00°, β = 60.00°, γ = 60.00°
Element x y z (fractional)
Pb  0.000  0.000  0.000
As  0.250  0.250  0.250
Hf  0.750  0.750  0.750

---

LaScGa2Ni4 after structural relaxation, computed with PBE.

**Electronic total energy**: -43.90 eV for the cell shown

a = 4.158 Å, b = 4.158 Å, c = 8.791 Å
α = 90.00°, β = 90.00°, γ = 120.00°
Element x y z (fractional)
Ga  0.000  0.000  0.723
Ga  0.000  0.000  0.277
Ni  0.333  0.667  0.209
Ni  0.333  0.667  0.791
Ni  0.667  0.333  0.338
Ni  0.667  0.333  0.662
La  0.667  0.333  0.000
Sc  0.333  0.667  0.500

---

BaZrAgAu after structural relaxation, computed with PBE.

**Offset from the most stable computed form**: 174 meV per atom
**Electronic total energy**: -15.54 eV for the cell shown

a = 5.101 Å, b = 5.101 Å, c = 5.101 Å
α = 60.00°, β = 60.00°, γ = 60.00°
Element x y z (fractional)
Ba  0.500  0.500  0.500
Zr  0.250  0.250  0.250
Au  0.750  0.750  0.750
Ag  0.000  0.000  0.000

---

Pr2Ag2SnGe after structural relaxation, computed with PBE.

**Electronic total energy**: -27.45 eV for the cell shown

a = 4.721 Å, b = 4.721 Å, c = 7.719 Å
α = 90.00°, β = 90.00°, γ = 120.00°
Element x y z (fractional)
Ge  0.333  0.667  0.788
Pr  0.000  0.000  0.506
Pr  0.000  0.000  0.991
Ag  0.667  0.333  0.716
Ag  0.333  0.667  0.204
Sn  0.667  0.333  0.281

---

Ho after structural relaxation, computed with PBE.

**Offset from the most stable computed form**: 200 meV per atom
**Electronic total energy**: -17.51 eV for the cell shown
**Energy of formation**: 0.2 eV/f.u.

a = 3.638 Å, b = 5.639 Å, c = 6.750 Å
α = 65.31°, β = 90.00°, γ = 90.00°
Element x y z (fractional)
Ho  0.498  0.138  0.724
Ho  0.002  0.638  0.724
Ho  0.998  0.362  0.276
Ho  0.502  0.862  0.276